Computed, not measured: crystalline HfSiMo at its relaxed geometry at the PBE level of DFT.

For the polymorph energy (0 for the lowest one), the calculation gives 102.1 meV/atom. Its density is 10.05 g/cm³.

The space group is Pmma (No. 51) and the conventional cell measures 12.1918, 3.5103 and 7.0108 Å, with angles of 90.00, 90.00 and 90.00 degrees. The asymmetric unit holds Hf at (0.0520, 0.0000, 0.2481), Hf at (0.2500, 0.0000, 0.6613), Si at (0.0935, 0.5000, 0.5595), Si at (0.2500, 0.0000, 0.0507), Mo at (0.1187, 0.5000, 0.9284) and Mo at (0.2500, 0.5000, 0.3084).